# 1
Crystalline GdTmCoPd at its relaxed geometry. Source: Alexandria, functional PBE.

Lattice parameters (Å, degrees): 4.842 4.842 4.842 60.00 60.00 60.00
Each line ends with the local moment (μB).
Fractional coordinates of all 4 atoms:
Gd 0.250 0.250 0.250  7.06
Tm 0.750 0.750 0.750  0.11
Co 0.500 0.500 0.500  -0.48
Pd 0.000 0.000 0.000  0.00

## Properties
The space-group type is No. 216. The energy of formation from the pure elements comes out at -0.4921 eV per atom. The total moment comes out at 1.715 μB per atom. The value obtained for the total energy is -32.8 eV for the cell shown. Its theoretical density is 10170 kg/m3.

# 2
Crystalline AcZnPt2 at its relaxed geometry. Source: Alexandria, functional PBE.

Lattice parameters (Å, degrees): 4.452 4.452 19.990 90.00 90.00 90.00
Fractional coordinates of all 16 atoms:
Ac 0.900 0.082 0.375
Ac 0.918 0.900 0.625
Ac 0.082 0.100 0.125
Ac 0.100 0.918 0.875
Zn 0.601 0.442 0.965
Zn 0.558 0.601 0.215
Zn 0.442 0.399 0.715
Zn 0.399 0.558 0.465
Pt 0.402 0.398 0.592
Pt 0.602 0.402 0.842
Pt 0.398 0.598 0.342
Pt 0.598 0.602 0.092
Pt 0.899 0.409 0.512
Pt 0.591 0.899 0.762
Pt 0.409 0.101 0.262
Pt 0.101 0.591 0.012

## Properties
The space-group type is No. 76. The energy of formation from the pure elements comes out at -0.7897 eV per atom. The total moment comes out at 0.000 μB per atom. The value obtained for the total energy is -82.5 eV for the cell shown. Its theoretical density is 11442 kg/m3.

# 3
Crystalline Pm2Pr2SiRh4 at its relaxed geometry. Source: Alexandria, functional PBE.

Lattice parameters (Å, degrees): 6.509 6.509 6.509 92.85 118.37 118.37
Fractional coordinates of all 9 atoms:
Pm 0.000 0.683 0.683
Pm 0.000 0.317 0.317
Pr 0.500 0.750 0.250
Pr 0.500 0.250 0.750
Si 0.000 0.000 0.000
Rh 0.000 0.753 0.247
Rh 0.505 0.753 0.753
Rh 0.000 0.247 0.753
Rh 0.495 0.247 0.247

## Properties
The space-group type is No. 139. The total moment comes out at 0.000 μB per atom. The value obtained for the total energy is -58.1 eV for the cell shown. Its theoretical density is 8416 kg/m3.

# 4
Crystalline ZrScCo2 at its relaxed geometry. Source: Alexandria, functional PBE.

Lattice parameters (Å, degrees): 6.766 6.766 5.587 52.74 52.74 90.00
Fractional coordinates of all 8 atoms:
Sc 0.500 0.500 0.000
Sc 0.250 0.750 0.500
Co 0.626 0.125 0.250
Co 0.124 0.625 0.250
Co 0.375 0.374 0.750
Co 0.875 0.876 0.750
Zr 0.000 0.000 0.000
Zr 0.750 0.250 0.500

## Properties
The space-group type is No. 122. The energy of formation from the pure elements comes out at 0.1000 eV per atom. The total moment comes out at 0.000 μB per atom. The value obtained for the total energy is -57.4 eV for the cell shown. Its theoretical density is 6386 kg/m3.

# 5
Crystalline Nb2HOsRh at its relaxed geometry. Source: Alexandria, functional PBE.

Lattice parameters (Å, degrees): 4.159 4.159 3.845 90.00 90.00 90.00
Fractional coordinates of all 5 atoms:
Rh 0.000 0.000 0.500
Nb 0.000 0.500 0.000
Nb 0.500 0.000 0.000
Os 0.500 0.500 0.500
H 0.000 0.000 0.000

## Properties
The space-group type is No. 123. The total moment comes out at 0.000 μB per atom. The value obtained for the total energy is -43.2 eV for the cell shown. Its theoretical density is 11983 kg/m3. Its energy above the most stable polymorph in this dataset is 0 meV per atom.

# 6
Crystalline ScSb3Ir at its relaxed geometry. Source: Alexandria, functional PBE.

Lattice parameters (Å, degrees): 5.296 5.296 5.296 90.00 90.00 90.00
Fractional coordinates of all 5 atoms:
Sc 0.000 0.000 0.000
Sb 0.000 0.500 0.000
Sb 0.000 0.000 0.500
Sb 0.500 0.000 0.000
Ir 0.500 0.500 0.500

## Properties
The space-group type is No. 221. The total moment comes out at 0.000 μB per atom. The value obtained for the total energy is -22.3 eV for the cell shown. Its theoretical density is 6737 kg/m3. Its energy above the most stable polymorph in this dataset is 691 meV per atom.

# 7
Crystalline Pu2HgMo at its relaxed geometry. Source: Alexandria, functional PBE.

Lattice parameters (Å, degrees): 3.212 3.212 8.737 90.00 90.00 90.00
Each line ends with the local moment (μB).
Fractional coordinates of all 4 atoms:
Mo 0.500 0.500 0.000  -0.80
Hg 0.500 0.500 0.500  0.04
Pu 0.000 0.000 0.784  5.18
Pu 0.000 0.000 0.216  5.18

## Properties
The space-group type is No. 123. The energy of formation from the pure elements comes out at 0.1060 eV per atom. The total moment comes out at 2.535 μB per atom. The value obtained for the total energy is -39.4 eV for the cell shown. Its theoretical density is 14449 kg/m3. Its energy above the most stable polymorph in this dataset is 0 meV per atom.

# 8
Crystalline La3Al8Ga3 at its relaxed geometry. Source: Alexandria, functional PBE.

Lattice parameters (Å, degrees): 4.436 8.596 8.596 73.13 75.05 75.05
Fractional coordinates of all 14 atoms:
La 0.500 0.500 0.500
La 0.821 0.179 0.179
La 0.179 0.821 0.821
Al 0.641 0.088 0.630
Al 0.359 0.912 0.370
Al 0.641 0.630 0.088
Al 0.359 0.370 0.912
Al 0.834 0.795 0.536
Al 0.166 0.205 0.464
Al 0.834 0.536 0.795
Al 0.166 0.464 0.205
Ga 0.500 0.000 0.000
Ga 0.000 0.778 0.222
Ga 0.000 0.222 0.778

## Properties
The space-group type is No. 71. The energy of formation from the pure elements comes out at -0.4235 eV per atom. The total moment comes out at 0.000 μB per atom. The value obtained for the total energy is -59.7 eV for the cell shown. Its theoretical density is 4706 kg/m3.